# 1
PBE-GGA Sr6CuPt, optimized geometry; formation enthalpy at 0 K = -0.2884 eV per atom
1.0
7.4911 0.0000 0.0000
-3.7455 6.4875 0.0000
0.0000 0.0000 14.3320
Sr Cu Pt
12 2 2
direct
0.3244 0.3269 0.3769
0.6756 0.6731 0.6231
0.0025 0.6756 0.3769
0.3244 0.9975 0.1231
0.9975 0.3244 0.6231
0.6756 0.0025 0.8769
0.6731 0.9975 0.3769
0.0025 0.3269 0.1231
0.3269 0.0025 0.6231
0.9975 0.6731 0.8769
0.6731 0.6756 0.1231
0.3269 0.3244 0.8769
0.3333 0.6667 0.2500
0.6667 0.3333 0.7500
0.0000 0.0000 0.5000
0.0000 0.0000 0.0000



# 2
PBE-GGA La6TcSn2, optimized geometry; formation enthalpy at 0 K = -0.3921 eV per atom
1.0
-6.3062 3.7108 1.1882
0.2308 -1.9008 7.1610
5.5170 8.6911 2.1291
La Tc Sn
12 2 4
direct
0.9978 0.9999 0.2428
0.7356 0.7493 0.5011
0.7507 0.7644 0.9989
0.7493 0.2644 0.5011
0.7644 0.2493 0.9989
0.5022 0.4999 0.2572
0.0022 0.0001 0.7572
0.2644 0.2507 0.4989
0.2493 0.2356 0.0011
0.2507 0.7356 0.4989
0.2356 0.7507 0.0011
0.4978 0.5001 0.7428
0.5000 0.5000 0.0000
0.0000 0.0000 0.5000
0.0000 0.5002 0.7500
0.5000 0.0002 0.7500
0.5000 0.9998 0.2500
0.0000 0.4998 0.2500



# 3
PBE-GGA AcTiReO6, optimized geometry; calculated total energy = -75.91 eV/f.u.
1.0
5.0166 0.0000 0.0000
0.0000 5.0166 0.0000
0.0000 0.0000 9.8289
Ac Ti Re O
2 2 2 12
direct
0.5000 0.5000 0.4892
0.0000 0.0000 0.9892
0.5000 0.5000 0.8395
0.0000 0.0000 0.3395
0.5000 0.5000 0.1656
0.0000 0.0000 0.6656
0.1639 0.8361 0.5028
0.8361 0.1639 0.5028
0.3361 0.3361 0.0028
0.6639 0.6639 0.0028
0.2436 0.7564 0.1977
0.7564 0.2436 0.1977
0.2564 0.2564 0.6977
0.7436 0.7436 0.6977
0.7633 0.2367 0.8023
0.2367 0.7633 0.8023
0.7367 0.7367 0.3023
0.2633 0.2633 0.3023



# 4
PBE-GGA Ac4MgIn12, optimized geometry; formation enthalpy at 0 K = -0.3935 eV per atom
1.0
-3.5467 -7.5205 -2.3222
8.5411 -0.3522 -1.2061
-1.6693 1.5176 8.3330
Ac Mg In
4 1 12
direct
0.0000 0.0000 0.5000
0.5000 0.0000 0.0000
0.5000 0.5000 0.5000
0.0000 0.5000 0.0000
0.0000 0.0000 0.0000
0.0000 0.3027 0.3027
0.0000 0.6973 0.6973
0.6973 0.6973 0.0000
0.3027 0.3027 0.0000
0.3027 0.0000 0.3027
0.6973 0.0000 0.6973
0.5000 0.2500 0.7500
0.5000 0.7500 0.2500
0.7500 0.2500 0.5000
0.2500 0.7500 0.5000
0.7500 0.5000 0.2500
0.2500 0.5000 0.7500